i | Sc2TaRu | PBE-GGA | optimized geometry

Cell: 3.183 3.183 7.713 Å, 90.00 90.00 90.00°
Atoms (fractional coordinates):
Sc: 0.000 0.000 0.000
Sc: 0.500 0.500 0.336
Ta: 0.000 0.000 0.591
Ru: 0.500 0.500 0.791

Properties
The density of states at the Fermi level comes out at 2.5 states/eV/cell. As for the total magnetization: 0.0 μB/f.u.

ii | Sc2TaRu | PBE-GGA | optimized geometry

Cell: 3.962 3.962 4.688 Å, 90.00 90.00 90.00°
Atoms (fractional coordinates):
Sc: 0.000 0.500 0.000
Sc: 0.500 0.000 0.000
Ta: 0.000 0.000 0.500
Ru: 0.500 0.500 0.500

Properties
The density of states at the Fermi level comes out at 5.1 states/eV/cell. As for the total magnetization: 0.0 μB/f.u.

Name the most stable of them. i.

i | Sc2TaRu | PBE-GGA | optimized geometry

Cell: 5.665 5.665 5.665 Å, 146.58 129.79 61.66°
Atoms (fractional coordinates):
Sc: 0.000 0.000 0.000
Sc: 0.715 0.215 0.500
Ta: 0.283 0.783 0.500
Ru: 0.486 0.486 0.000

Properties
The density of states at the Fermi level comes out at 2.5 states/eV/cell. As for the total magnetization: 0.0 μB/f.u.

ii | Sc2TaRu | PBE-GGA | optimized geometry

Cell: 10.012 10.012 10.012 Å, 17.32 17.32 17.32°
Atoms (fractional coordinates):
Sc: 0.098 0.098 0.098
Sc: 0.902 0.902 0.902
Ta: 0.000 0.000 0.000
Ru: 0.500 0.500 0.500

Properties
The density of states at the Fermi level comes out at 4.6 states/eV/cell. As for the total magnetization: 0.4 μB/f.u.

iii | Sc2TaRu | PBE-GGA | optimized geometry

Cell: 3.089 4.310 5.599 Å, 90.00 90.00 90.00°
Atoms (fractional coordinates):
Sc: 0.000 0.000 0.000
Sc: 0.500 0.500 0.273
Ta: 0.000 0.000 0.535
Ru: 0.500 0.500 0.735

Properties
The density of states at the Fermi level comes out at 5.1 states/eV/cell. As for the total magnetization: 0.0 μB/f.u.

Name the most stable of them. i.

i | Sc2TaRu | PBE-GGA | optimized geometry

Cell: 3.263 4.697 4.730 Å, 90.00 90.00 90.00°
Atoms (fractional coordinates):
Sc: 0.000 0.000 0.000
Sc: 0.500 0.500 0.000
Ta: 0.000 0.500 0.500
Ru: 0.500 0.000 0.500

Properties
The density of states at the Fermi level comes out at 3.5 states/eV/cell. As for the total magnetization: 0.0 μB/f.u.

ii | Sc2TaRu | PBE-GGA | optimized geometry

Cell: 9.215 9.215 9.215 Å, 19.35 19.35 19.35°
Atoms (fractional coordinates):
Sc: 0.241 0.241 0.241
Sc: 0.759 0.759 0.759
Ta: 0.000 0.000 0.000
Ru: 0.500 0.500 0.500

Properties
The density of states at the Fermi level comes out at 4.8 states/eV/cell. As for the total magnetization: 0.3 μB/f.u.

Name the most stable of them. i.

i | ScTa2Ru2 | PBE-GGA | optimized geometry

Cell: 7.595 7.595 3.059 Å, 90.00 90.00 90.00°
Atoms (fractional coordinates):
Sc: 0.000 0.000 0.000
Sc: 0.500 0.500 0.000
Ta: 0.156 0.344 0.500
Ta: 0.344 0.844 0.500
Ta: 0.656 0.156 0.500
Ta: 0.844 0.656 0.500
Ru: 0.140 0.640 0.000
Ru: 0.360 0.140 0.000
Ru: 0.640 0.860 0.000
Ru: 0.860 0.360 0.000

Properties
The density of states at the Fermi level comes out at 7.3 states/eV/cell. As for the total magnetization: 0.0 μB/f.u.

ii | ScTa2Ru2 | PBE-GGA | optimized geometry

Cell: 3.184 4.545 11.643 Å, 90.00 97.92 90.00°
Atoms (fractional coordinates):
Sc: 0.146 0.250 0.292
Sc: 0.854 0.750 0.708
Ta: 0.050 0.750 0.100
Ta: 0.244 0.750 0.489
Ta: 0.756 0.250 0.511
Ta: 0.950 0.250 0.900
Ru: 0.354 0.250 0.709
Ru: 0.455 0.750 0.910
Ru: 0.545 0.250 0.090
Ru: 0.646 0.750 0.291

Properties
The density of states at the Fermi level comes out at 3.7 states/eV/cell. As for the total magnetization: 0.0 μB/f.u.

Name the most stable of them. ii.

i | Sc2TaRu3 | PBE-GGA | optimized geometry

Cell: 7.136 7.136 3.186 Å, 90.00 90.00 142.89°
Atoms (fractional coordinates):
Sc: 0.168 0.832 0.000
Sc: 0.832 0.168 0.000
Ta: 0.500 0.500 0.000
Ru: 0.000 0.000 0.500
Ru: 0.341 0.659 0.500
Ru: 0.659 0.341 0.500

Properties
The density of states at the Fermi level comes out at 1.3 states/eV/cell. As for the total magnetization: 0.0 μB/f.u.

ii | Sc2TaRu3 | PBE-GGA | optimized geometry

Cell: 3.190 3.190 9.647 Å, 90.00 90.00 90.00°
Atoms (fractional coordinates):
Sc: 0.000 0.000 0.162
Sc: 0.000 0.000 0.838
Ta: 0.000 0.000 0.500
Ru: 0.500 0.500 0.000
Ru: 0.500 0.500 0.343
Ru: 0.500 0.500 0.657

Properties
The density of states at the Fermi level comes out at 0.9 states/eV/cell. As for the total magnetization: 0.0 μB/f.u.

Name the most stable of them. i.

i | ScTa3Ru | PBE-GGA | optimized geometry

Cell: 4.646 4.646 4.646 Å, 90.00 90.00 90.00°
Atoms (fractional coordinates):
Sc: 0.000 0.000 0.000
Ta: 0.000 0.000 0.500
Ta: 0.000 0.500 0.000
Ta: 0.500 0.000 0.000
Ru: 0.500 0.500 0.500

Properties
The density of states at the Fermi level comes out at 8.2 states/eV/cell. As for the total magnetization: 0.0 μB/f.u.

ii | ScTa3Ru | PBE-GGA | optimized geometry

Cell: 4.828 4.828 4.828 Å, 90.00 90.00 90.00°
Atoms (fractional coordinates):
Sc: 0.000 0.000 0.000
Ta: 0.000 0.500 0.500
Ta: 0.500 0.000 0.500
Ta: 0.500 0.500 0.000
Ru: 0.500 0.500 0.500

Properties
The density of states at the Fermi level comes out at 5.6 states/eV/cell. As for the total magnetization: 0.0 μB/f.u.

Name the most stable of them. ii.

i | TbSc2Ru | PBE-GGA | optimized geometry

Cell: 7.178 8.563 5.997 Å, 90.00 90.00 90.00°
Atoms (fractional coordinates):
Tb: 0.036 0.250 0.124
Tb: 0.464 0.750 0.624
Tb: 0.536 0.250 0.376
Tb: 0.964 0.750 0.876
Sc: 0.174 0.064 0.656
Sc: 0.174 0.436 0.656
Sc: 0.326 0.564 0.156
Sc: 0.326 0.936 0.156
Sc: 0.674 0.064 0.844
Sc: 0.674 0.436 0.844
Sc: 0.826 0.564 0.344
Sc: 0.826 0.936 0.344
Ru: 0.117 0.750 0.435
Ru: 0.383 0.250 0.935
Ru: 0.617 0.750 0.065
Ru: 0.883 0.250 0.565

Properties
The density of states at the Fermi level comes out at 17.9 states/eV/cell. As for the total magnetization: 0.0 μB/f.u.

ii | TbSc2Ru | PBE-GGA | optimized geometry

Cell: 9.866 9.866 9.866 Å, 19.21 19.21 19.21°
Atoms (fractional coordinates):
Tb: 0.000 0.000 0.000
Sc: 0.232 0.232 0.232
Sc: 0.768 0.768 0.768
Ru: 0.500 0.500 0.500

Properties
The density of states at the Fermi level comes out at 4.3 states/eV/cell. As for the total magnetization: 0.0 μB/f.u.

Name the most stable of them. i.

i | TbSc2Ru | PBE-GGA | optimized geometry

Cell: 6.003 6.003 8.525 Å, 90.00 90.00 143.15°
Atoms (fractional coordinates):
Tb: 0.067 0.933 0.750
Tb: 0.933 0.067 0.250
Sc: 0.353 0.647 0.566
Sc: 0.353 0.647 0.934
Sc: 0.647 0.353 0.066
Sc: 0.647 0.353 0.434
Ru: 0.249 0.751 0.250
Ru: 0.751 0.249 0.750

Properties
The density of states at the Fermi level comes out at 8.9 states/eV/cell. As for the total magnetization: 0.0 μB/f.u.

ii | TbSc2Ru | PBE-GGA | optimized geometry

Cell: 3.271 3.271 8.375 Å, 90.00 90.00 90.00°
Atoms (fractional coordinates):
Tb: 0.000 0.000 0.000
Sc: 0.500 0.500 0.318
Sc: 0.500 0.500 0.682
Ru: 0.000 0.000 0.500

Properties
The density of states at the Fermi level comes out at 2.7 states/eV/cell. As for the total magnetization: 0.0 μB/f.u.

Name the most stable of them. i.